Entry 1:
GGA-PBE ZnCrRu2, relaxed; crystal system = monoclinic
1.0
3.902 0.000 0.000
0.000 2.699 0.076
0.000 2.580 5.159
Cr Ru Zn
1 2 1
direct
0.500 0.752 0.743
0.000 0.014 0.991
0.500 0.234 0.268
0.000 0.500 0.498

Entry 2:
GGA-PBE RbAu, relaxed; crystal system = cubic
1.0
10.158 0.000 0.000
0.000 10.158 0.000
0.000 0.000 10.158
Rb Au
8 8
direct
0.204 0.204 0.204
0.204 0.796 0.796
0.796 0.204 0.796
0.796 0.796 0.204
0.704 0.704 0.704
0.704 0.296 0.296
0.296 0.704 0.296
0.296 0.296 0.704
0.397 0.397 0.397
0.397 0.603 0.603
0.603 0.397 0.603
0.603 0.603 0.397
0.897 0.897 0.897
0.897 0.103 0.103
0.103 0.897 0.103
0.103 0.103 0.897

Entry 3:
GGA-PBE Pm2Zn4Au3, relaxed; crystal system = orthorhombic
1.0
-5.985 1.084 0.351
-1.442 -7.028 -2.885
2.885 -3.443 6.946
Pm Zn Au
4 8 6
direct
0.120 0.576 0.240
0.880 0.424 0.760
0.380 0.076 0.760
0.620 0.924 0.240
0.700 0.750 0.900
0.800 0.250 0.100
0.300 0.250 0.100
0.200 0.750 0.900
0.174 0.976 0.349
0.826 0.024 0.651
0.326 0.476 0.651
0.674 0.524 0.349
0.000 0.000 0.000
0.500 0.500 0.000
0.526 0.750 0.551
0.974 0.250 0.449
0.474 0.250 0.449
0.026 0.750 0.551

The records above give, respectively, energy of formation from the pure elements values of 0.117; -0.162; -0.482 eV/atom.
The records above give, respectively, V values of 13.39; 65.52; 20.13 Å³/atom.